(1)
! MnAgSe2, optimized geometry, DFT GGA-PBE; values from VASP
&SYSTEM
  ibrav = 0, nat = 4, ntyp = 3
/
ATOMIC_SPECIES
Mn 54.94 Mn.upf
Ag 107.87 Ag.upf
Se 78.96 Se.upf
ATOMIC_POSITIONS crystal
Mn 0.000 0.000 0.000
Ag 0.500 0.500 0.772
Se 0.000 0.000 0.529
Se 0.500 0.500 0.144
CELL_PARAMETERS angstrom
2.986 0.000 0.000
0.000 2.986 0.000
0.000 0.000 8.871
! * space-group type: P4mm (99)
! * DFT total energy: -4.68 eV per atom

---

(2)
! HfTl3Pd, optimized geometry, DFT GGA-PBE; values from VASP
&SYSTEM
  ibrav = 0, nat = 5, ntyp = 3
/
ATOMIC_SPECIES
Hf 178.49 Hf.upf
Tl 204.38 Tl.upf
Pd 106.42 Pd.upf
ATOMIC_POSITIONS crystal
Hf 0.000 0.000 0.000
Tl 0.000 0.000 0.500
Tl 0.000 0.500 0.000
Tl 0.500 0.000 0.000
Pd 0.500 0.500 0.500
CELL_PARAMETERS angstrom
5.558 0.000 0.000
0.000 5.558 0.000
0.000 0.000 5.558
! * space-group type: Pm-3m (221)
! * E above lowest polymorph: 302.6 meV/atom

---

(3)
! BaLa2Tl, optimized geometry, DFT GGA-PBE; values from VASP
&SYSTEM
  ibrav = 0, nat = 4, ntyp = 3
/
ATOMIC_SPECIES
Ba 137.33 Ba.upf
La 138.91 La.upf
Tl 204.38 Tl.upf
ATOMIC_POSITIONS crystal
Ba 0.000 0.000 0.000
La 0.250 0.750 0.500
La 0.750 0.250 0.500
Tl 0.500 0.500 0.000
CELL_PARAMETERS angstrom
-2.586 2.586 5.284
2.586 -2.586 5.284
2.586 2.586 -5.284
! * space-group type: I4/mmm (139)
! * E above lowest polymorph: 73.7 meV/atom

---

Number 1: M_tot 2.68 Bohr magnetons per cell. Number 2: M_tot 0.00 Bohr magnetons per cell. Number 3: M_tot 0.00 Bohr magnetons per cell.